(1)
! PBE-GGA Ba12Pt5Pb3, relaxed; values from VASP
&SYSTEM
  ibrav = 0, nat = 80, ntyp = 3
/
ATOMIC_SPECIES
Ba 137.33 Ba.upf
Pt 195.08 Pt.upf
Pb 207.20 Pb.upf
CELL_PARAMETERS angstrom
-9.757 9.757 9.757
9.757 -9.757 9.757
9.757 9.757 -9.757
ATOMIC_POSITIONS angstrom
Ba 2.951 -0.486 1.178
Ba 11.685 6.057 -5.365
Ba 12.708 0.486 1.178
Ba 11.685 -3.700 5.365
Ba 9.271 -1.178 2.951
Ba 15.122 -1.928 3.700
Ba 1.178 2.951 -0.486
Ba 13.458 4.393 -1.928
Ba 6.057 5.365 -1.928
Ba 8.579 2.951 0.486
Ba -0.486 1.178 2.951
Ba 5.365 -1.928 6.057
Ba 9.271 8.579 -2.951
Ba 5.365 1.928 3.700
Ba 6.057 -5.365 11.685
Ba 8.579 -2.951 9.271
Ba 3.700 5.365 1.928
Ba 10.936 6.806 0.486
Ba 5.365 11.685 -3.700
Ba 9.271 1.178 6.806
Ba 2.951 9.271 -1.178
Ba 11.685 3.700 4.393
Ba 1.928 3.700 5.365
Ba 2.951 0.486 8.579
Ba 6.806 9.271 1.178
Ba 7.830 6.057 4.393
Ba -1.928 6.057 5.365
Ba 6.806 0.486 10.936
Ba 0.486 8.579 2.951
Ba 4.393 -1.928 13.458
Ba -1.178 2.951 9.271
Ba 6.057 4.393 7.830
Ba 1.178 12.708 0.486
Ba 3.700 15.122 -1.928
Ba 4.393 7.830 6.057
Ba 0.486 1.178 12.708
Ba 4.393 11.685 3.700
Ba 10.243 8.579 6.806
Ba 1.178 6.806 9.271
Ba 3.700 4.393 11.685
Ba -3.700 5.365 11.685
Ba 8.579 6.806 10.243
Ba -5.365 11.685 6.057
Ba 0.486 10.936 6.806
Ba -1.928 13.458 4.393
Ba -2.951 9.271 8.579
Ba -1.928 3.700 15.122
Ba 6.806 10.243 8.579
Pt 0.000 0.000 0.000
Pt 4.879 4.879 -4.879
Pt 4.879 -4.879 4.879
Pt 9.757 0.000 0.000
Pt 14.636 2.439 0.000
Pt 9.757 -4.879 7.318
Pt 7.318 9.757 -4.879
Pt 7.318 0.000 4.879
Pt 4.879 7.318 0.000
Pt 9.757 4.879 2.439
Pt -4.879 4.879 4.879
Pt 0.000 9.757 0.000
Pt 0.000 0.000 9.757
Pt 4.879 4.879 4.879
Pt 0.000 4.879 7.318
Pt 4.879 2.439 9.757
Pt 2.439 9.757 4.879
Pt 2.439 0.000 14.636
Pt 0.000 14.636 2.439
Pt -4.879 7.318 9.757
Pb 4.879 2.439 0.000
Pb 9.757 4.879 -2.439
Pb 2.439 0.000 4.879
Pb 12.197 0.000 4.879
Pb 0.000 4.879 2.439
Pb 4.879 -2.439 9.757
Pb 4.879 12.197 0.000
Pb 9.757 4.879 7.318
Pb -2.439 9.757 4.879
Pb 7.318 9.757 4.879
Pb 0.000 4.879 12.197
Pb 4.879 7.318 9.757
! calculated formation energy: -0.51 eV per atom
! crystal system: cubic

***

(2)
! PBE-GGA CrTe2W2Se4, relaxed; values from VASP
&SYSTEM
  ibrav = 0, nat = 9, ntyp = 4
/
ATOMIC_SPECIES
Cr 52.00 Cr.upf
Te 127.60 Te.upf
W 183.84 W.upf
Se 78.96 Se.upf
CELL_PARAMETERS angstrom
3.370 0.000 0.000
-1.685 2.919 0.000
0.000 0.000 22.473
ATOMIC_POSITIONS angstrom
Cr 0.000 0.000 0.000
Te 1.685 0.973 1.745
Te 1.685 0.973 20.729
W 0.000 0.000 14.512
W 1.685 0.973 7.347
Se 0.000 0.000 5.681
Se 0.000 0.000 9.012
Se 1.685 0.973 12.846
Se 1.685 0.973 16.177
! uncorrected formation energy: -0.40 eV/atom
! crystal system: trigonal

***

(3)
! PBE-GGA Zr2TcMoIr, relaxed; values from VASP
&SYSTEM
  ibrav = 0, nat = 5, ntyp = 4
/
ATOMIC_SPECIES
Zr 91.22 Zr.upf
Tc 98.00 Tc.upf
Mo 95.94 Mo.upf
Ir 192.22 Ir.upf
CELL_PARAMETERS angstrom
4.949 0.000 0.000
0.000 4.949 0.000
0.000 0.000 4.497
ATOMIC_POSITIONS angstrom
Zr 0.000 2.474 0.000
Zr 2.474 0.000 0.000
Tc 0.000 0.000 2.249
Mo 0.000 0.000 0.000
Ir 2.474 2.474 2.249
! calculated formation energy: 1.14 eV per atom
! crystal system: tetragonal

***

(4)
! PBE-GGA K3Ta8O21, relaxed; values from VASP
&SYSTEM
  ibrav = 0, nat = 64, ntyp = 3
/
ATOMIC_SPECIES
K 39.10 K.upf
Ta 180.95 Ta.upf
O 16.00 O.upf
CELL_PARAMETERS angstrom
9.256 0.000 0.000
-4.628 8.016 0.000
0.000 0.000 12.234
ATOMIC_POSITIONS angstrom
K -1.891 3.275 3.059
K -2.738 4.742 9.176
K 3.781 0.000 3.059
K 1.891 3.275 9.176
K 5.475 0.000 9.176
K 2.738 4.742 3.059
Ta -1.146 1.985 7.274
Ta -1.146 1.985 11.077
Ta -3.482 6.031 1.157
Ta -3.482 6.031 4.960
Ta 2.292 0.000 7.274
Ta 2.292 0.000 11.077
Ta 1.146 1.985 1.157
Ta 1.146 1.985 4.960
Ta 0.000 5.344 0.000
Ta 0.000 5.344 6.117
Ta 4.628 2.672 0.000
Ta 4.628 2.672 6.117
Ta 6.965 0.000 1.157
Ta 6.965 0.000 4.960
Ta 3.482 6.031 7.274
Ta 3.482 6.031 11.077
O -0.913 1.582 0.907
O -0.913 1.582 5.210
O -0.973 1.686 9.176
O -3.655 6.331 3.059
O -3.715 6.434 7.024
O -3.715 6.434 11.327
O -0.670 3.851 7.266
O -0.670 3.851 11.085
O -1.628 5.510 1.149
O -1.628 5.510 4.968
O 1.827 0.000 0.907
O 1.827 0.000 5.210
O 0.913 1.582 7.024
O 0.913 1.582 11.327
O 1.946 0.000 9.176
O 0.973 1.686 3.059
O 0.670 3.851 1.149
O 0.670 3.851 4.968
O -0.958 6.671 7.266
O -0.958 6.671 11.085
O 3.670 1.345 7.266
O 3.670 1.345 11.085
O 3.000 2.506 1.149
O 3.000 2.506 4.968
O 1.628 5.510 7.266
O 1.628 5.510 11.085
O 0.958 6.671 1.149
O 0.958 6.671 4.968
O 5.586 1.345 1.149
O 5.586 1.345 4.968
O 3.958 4.165 7.266
O 3.958 4.165 11.085
O 7.310 0.000 3.059
O 3.655 6.331 9.176
O 7.430 0.000 7.024
O 7.430 0.000 11.327
O 3.715 6.434 0.907
O 3.715 6.434 5.210
O 6.256 2.506 7.266
O 6.256 2.506 11.085
O 5.298 4.165 1.149
O 5.298 4.165 4.968
! uncorrected formation energy: -2.77 eV/atom
! crystal system: hexagonal

***

(5)
! PBE-GGA Cs2NiWBr6, relaxed; values from VASP
&SYSTEM
  ibrav = 0, nat = 10, ntyp = 4
/
ATOMIC_SPECIES
Cs 132.91 Cs.upf
Ni 58.69 Ni.upf
W 183.84 W.upf
Br 79.90 Br.upf
CELL_PARAMETERS angstrom
-3.688 3.688 5.743
3.688 -3.688 5.743
3.688 3.688 -5.743
ATOMIC_POSITIONS angstrom
Cs 3.688 0.000 2.871
Cs 0.000 3.688 2.871
Ni 0.000 0.000 0.000
W 0.000 0.000 5.743
Br 1.814 1.814 0.000
Br 1.874 -1.874 5.743
Br 0.000 0.000 3.126
Br 0.000 0.000 8.360
Br -1.874 1.874 5.743
Br 1.874 1.874 5.743
! uncorrected formation energy: -0.73 eV/atom
! crystal system: tetragonal

***

(6)
! PBE-GGA KTeAs2, relaxed; values from VASP
&SYSTEM
  ibrav = 0, nat = 4, ntyp = 3
/
ATOMIC_SPECIES
K 39.10 K.upf
Te 127.60 Te.upf
As 74.92 As.upf
CELL_PARAMETERS angstrom
3.567 0.000 0.000
0.000 3.567 0.000
0.000 0.000 8.438
ATOMIC_POSITIONS angstrom
K 0.000 0.000 0.000
Te 0.000 0.000 4.219
As 1.784 1.784 2.509
As 1.784 1.784 5.930
! uncorrected formation energy: 0.24 eV/atom
! crystal system: tetragonal

***

(7)
! PBE-GGA Ba2NaAgN, relaxed; values from VASP
&SYSTEM
  ibrav = 0, nat = 5, ntyp = 4
/
ATOMIC_SPECIES
Ba 137.33 Ba.upf
Na 22.99 Na.upf
Ag 107.87 Ag.upf
N 14.01 N.upf
CELL_PARAMETERS angstrom
5.602 0.000 0.000
0.000 5.602 0.000
0.000 0.000 4.887
ATOMIC_POSITIONS angstrom
Ba 0.000 2.801 0.000
Ba 2.801 0.000 0.000
Na 0.000 0.000 2.443
Ag 2.801 2.801 2.443
N 0.000 0.000 0.000
! uncorrected formation energy: -0.14 eV/atom
! crystal system: tetragonal

***

(8)
! PBE-GGA Tb5Er4Tl, relaxed; values from VASP
&SYSTEM
  ibrav = 0, nat = 10, ntyp = 3
/
ATOMIC_SPECIES
Tb 158.93 Tb.upf
Er 167.26 Er.upf
Tl 204.38 Tl.upf
CELL_PARAMETERS angstrom
3.546 0.000 0.000
0.000 3.546 0.000
0.000 0.000 24.380
ATOMIC_POSITIONS angstrom
Tb 0.000 0.000 0.000
Tb 0.000 0.000 4.991
Tb 0.000 0.000 10.001
Tb 0.000 0.000 14.379
Tb 0.000 0.000 19.388
Er 1.773 1.773 2.499
Er 1.773 1.773 7.498
Er 1.773 1.773 16.882
Er 1.773 1.773 21.881
Tl 1.773 1.773 12.190
! calculated formation energy: -0.05 eV per atom
! energy relative to the lowest polymorph listed for this composition: 0.00 kcal/mol of atoms
! crystal system: tetragonal

***

no.,spin magnetization (μB per formula unit)
1,0.0
2,0.0
3,0.0
4,0.0
5,4.0
6,0.0
7,0.0
8,0.0